Compound: Ac3Be2Pd9
Source: Alexandria via LeMat-Bulk
Functional: PBE
Structure: relaxed

Cell: 6.358 6.358 15.076 Å, 90.00 90.00 120.00°
Fractional positions:
Pd 0.845 0.155 0.420
Pd 0.845 0.155 0.080
Pd 0.993 0.496 0.750
Pd 0.496 0.993 0.250
Pd 0.155 0.309 0.580
Pd 0.691 0.845 0.580
Pd 0.309 0.155 0.420
Pd 0.504 0.496 0.750
Pd 0.155 0.845 0.580
Pd 0.496 0.504 0.250
Pd 0.504 0.007 0.750
Pd 0.845 0.691 0.420
Pd 0.691 0.845 0.920
Pd 0.845 0.691 0.080
Pd 0.007 0.504 0.250
Pd 0.155 0.845 0.920
Pd 0.155 0.309 0.920
Pd 0.309 0.155 0.080
Ac 0.000 0.000 0.750
Ac 0.667 0.333 0.922
Ac 0.000 0.000 0.250
Ac 0.667 0.333 0.578
Ac 0.333 0.667 0.422
Ac 0.333 0.667 0.078
Be 0.667 0.333 0.162
Be 0.333 0.667 0.838
Be 0.667 0.333 0.338
Be 0.333 0.667 0.662

Output
SG	P6_3/mmc, No. 194
VASP energy	-0.4032	Ry/atom
Fermi-level density of states	11.33	states/eV per cell
crystal system	hexagonal

Compound: InTe2S
Source: Alexandria via LeMat-Bulk
Functional: PBE
Structure: relaxed

Cell: 10.559 10.559 10.559 Å, 18.99 18.99 18.99°
Fractional positions:
Te 0.898 0.898 0.898
Te 0.102 0.102 0.102
In 0.000 0.000 0.000
S 0.500 0.500 0.500

Output
SG	R-3m, No. 166
VASP energy	-0.2182	Ry/atom
Fermi-level density of states	3.16	states/eV per cell
crystal system	trigonal
formation energy without anion corrections	0.318	eV/atom

Compound: V2TcC
Source: Alexandria via LeMat-Bulk
Functional: PBE
Structure: relaxed

Cell: 2.883 2.883 6.735 Å, 77.64 77.64 60.00°
Fractional positions:
C 0.667 0.667 0.998
Tc 0.500 0.500 0.499
V 0.058 0.058 0.825
V 0.274 0.274 0.177

Output
SG	R3m, No. 160
VASP energy	-0.7161	Ry/atom
Fermi-level density of states	4.72	states/eV per cell
crystal system	trigonal

Compound: Li2LaY
Source: Alexandria via LeMat-Bulk
Functional: PBE
Structure: relaxed

Cell: 6.316 6.316 6.316 Å, 144.09 128.12 64.71°
Fractional positions:
Li 0.506 0.506 0.000
Li 0.994 0.994 0.000
Y 0.750 0.250 0.500
La 0.250 0.750 0.500

Output
relative energy among the computed polymorphs	0.46	eV/f.u.
SG	Immm, No. 71
VASP energy	-0.2665	Ry/atom
Fermi-level density of states	3.85	states/eV per cell
crystal system	orthorhombic

Compound: Tb3Tm2Al3
Source: Alexandria via LeMat-Bulk
Functional: PBE
Structure: relaxed

Cell: 3.654 5.165 11.204 Å, 103.33 99.38 90.00°
Fractional positions:
Tb 0.500 0.000 0.000
Tb 0.379 0.379 0.758
Tb 0.621 0.621 0.242
Tm 0.269 0.769 0.538
Tm 0.731 0.231 0.462
Al 0.000 0.500 0.000
Al 0.118 0.118 0.236
Al 0.882 0.882 0.764

Output
SG	Immm, No. 71
VASP energy	-0.3352	Ry/atom
Fermi-level density of states	5.80	states/eV per cell
crystal system	orthorhombic

Compound: KZnSb3
Source: Alexandria via LeMat-Bulk
Functional: PBE
Structure: relaxed

Cell: 5.416 5.416 5.416 Å, 90.00 90.00 90.00°
Fractional positions:
K 0.500 0.500 0.500
Zn 0.000 0.000 0.000
Sb 0.000 0.000 0.500
Sb 0.000 0.500 0.000
Sb 0.500 0.000 0.000

Output
relative energy among the computed polymorphs	0.00	eV/f.u.
SG	Pm-3m, No. 221
VASP energy	-0.2043	Ry/atom
Fermi-level density of states	2.71	states/eV per cell
crystal system	cubic
formation energy without anion corrections	0.168	eV/atom

Compound: Nd2UNi3Pt12
Source: Alexandria via LeMat-Bulk
Functional: PBE
Structure: relaxed

Cell: 8.159 8.159 8.159 Å, 58.55 58.55 58.55°
Fractional positions:
Pt 0.370 0.370 0.870
Pt 0.869 0.396 0.869
Pt 0.869 0.869 0.396
Pt 0.131 0.131 0.604
Pt 0.370 0.870 0.370
Pt 0.604 0.131 0.131
Pt 0.870 0.370 0.370
Pt 0.396 0.869 0.869
Pt 0.130 0.630 0.630
Pt 0.131 0.604 0.131
Pt 0.630 0.630 0.130
Pt 0.630 0.130 0.630
Ni 0.000 0.500 0.000
Ni 0.000 0.000 0.500
Ni 0.500 0.000 0.000
U 0.000 0.000 0.000
Nd 0.614 0.614 0.614
Nd 0.386 0.386 0.386

Output
SG	R-3m, No. 166
VASP energy	-0.4620	Ry/atom
Fermi-level density of states	16.58	states/eV per cell
crystal system	trigonal

Compound: Ta2VTe2Se4
Source: Alexandria via LeMat-Bulk
Functional: PBE
Structure: relaxed

Cell: 3.507 3.507 22.123 Å, 90.00 90.00 120.00°
Fractional positions:
Se 0.000 0.000 0.731
Se 0.000 0.000 0.580
Se 0.667 0.333 0.050
Se 0.667 0.333 0.899
Ta 0.667 0.333 0.655
Ta 0.000 0.000 0.974
Te 0.667 0.333 0.249
Te 0.667 0.333 0.410
V 0.000 0.000 0.329

Output
SG	P3m1, No. 156
VASP energy	-0.4804	Ry/atom
Fermi-level density of states	8.30	states/eV per cell
crystal system	trigonal
formation energy without anion corrections	-0.642	eV/atom